An optimized crystal structure of Cs2MnZnO4, computed with PBE with a Hubbard U.

a b c (Å): 5.364 12.472 21.500
angles (deg): 90.00 90.00 90.00
Space group Fddd (No. 70, origin choice 2)
Symmetry-distinct sites (fractional):
Cs  0.125  0.125  0.299 (multiplicity 16)
Mn  0.125  0.125  0.625 (multiplicity 8)
Zn  0.125  0.125  0.125 (multiplicity 8)
O  0.105  0.295  0.833 (multiplicity 32)

## Properties
electronic total energy: -5.1298 eV/atom